# 1
Computed, not measured: an optimized crystal structure of LiVCd at the GGA-PBE level of DFT.

Computed properties:
The raw total energy is -11.22 eV per formula unit. For the total magnetization, the calculation gives 0.0 μB per formula unit. The crystal system is triclinic. The calculation puts the density of states at the Fermi level at 1.4 states/eV/f.u. The formation energy from the elements comes out at 242 meV/atom. Its energy above the most stable polymorph in this dataset is 32 kJ/mol of formula units.

CIF file:
```
data_LiVCd
_cell_length_a 4.3055
_cell_length_b 5.7325
_cell_length_c 5.5062
_cell_angle_alpha 62.18
_cell_angle_beta 62.49
_cell_angle_gamma 88.79
_symmetry_space_group_name_H-M 'P 1'
_symmetry_Int_Tables_number 1
_symmetry_space_group_name_Hall 'P 1'
loop_
_atom_site_label
_atom_site_type_symbol
_atom_site_fract_x
_atom_site_fract_y
_atom_site_fract_z
Cd1 Cd 0.4882 0.2858 0.1636
Cd2 Cd 0.1481 0.7118 0.8526
V1 V 0.8883 0.6419 0.4610
V2 V 0.3947 0.7471 0.2650
Li1 Li 0.7834 0.0954 0.5671
Li2 Li 0.1475 0.2003 0.8544
```

# 2
Computed, not measured: an optimized crystal structure of Ca2ZnAsPd6 at the GGA-PBE level of DFT.

Computed properties:
The raw total energy is -44.70 eV per formula unit. For the total magnetization, the calculation gives 0.0 μB per formula unit. The crystal system is cubic. The calculation puts the density of states at the Fermi level at 2.6 states/eV/f.u. The formation energy from the elements comes out at -362 meV/atom.

CIF file:
```
data_Ca2ZnAsPd6
_cell_length_a 6.6708
_cell_length_b 6.6708
_cell_length_c 6.6708
_cell_angle_alpha 60.00
_cell_angle_beta 60.00
_cell_angle_gamma 90.00
_symmetry_space_group_name_H-M 'P 1'
_symmetry_Int_Tables_number 1
_symmetry_space_group_name_Hall 'P 1'
loop_
_atom_site_label
_atom_site_type_symbol
_atom_site_fract_x
_atom_site_fract_y
_atom_site_fract_z
Zn1 Zn 0.5000 0.5000 0.0000
Pd1 Pd 0.7520 0.7520 0.4960
Pd2 Pd 0.7520 0.2480 0.0000
Pd3 Pd 0.2480 0.2480 0.5040
Pd4 Pd 0.2480 0.7520 0.0000
Pd5 Pd 0.2480 0.2480 0.0000
Pd6 Pd 0.7520 0.7520 0.0000
Ca1 Ca 0.2500 0.7500 0.5000
Ca2 Ca 0.7500 0.2500 0.5000
As1 As 0.0000 0.0000 0.0000
```

# 3
Computed, not measured: an optimized crystal structure of CaInP2S8 at the GGA-PBE level of DFT.

Computed properties:
The raw total energy is -53.79 eV per formula unit. For the total magnetization, the calculation gives 0.7 μB per formula unit. The crystal system is trigonal. The calculation puts the density of states at the Fermi level at 12.4 states/eV/f.u. The value obtained for the uncorrected formation energy is -5.2 eV/f.u.

CIF file:
```
data_CaInP2S8
_cell_length_a 5.9721
_cell_length_b 5.9721
_cell_length_c 8.8503
_cell_angle_alpha 90.00
_cell_angle_beta 90.00
_cell_angle_gamma 120.00
_symmetry_space_group_name_H-M 'P 1'
_symmetry_Int_Tables_number 1
_symmetry_space_group_name_Hall 'P 1'
loop_
_atom_site_label
_atom_site_type_symbol
_atom_site_fract_x
_atom_site_fract_y
_atom_site_fract_z
S1 S 0.6771 0.0039 0.2970
S2 S 0.6667 0.3333 0.0096
S3 S 0.3229 0.9961 0.7030
S4 S 0.6732 0.6771 0.7030
S5 S 0.3333 0.6667 0.9904
S6 S 0.3268 0.3229 0.2970
S7 S 0.9961 0.6732 0.2970
S8 S 0.0039 0.3268 0.7030
P1 P 0.6667 0.3333 0.2398
P2 P 0.3333 0.6667 0.7602
In1 In 0.0000 0.0000 0.5000
Ca1 Ca 0.0000 0.0000 0.0000
```

# 4
Computed, not measured: an optimized crystal structure of TaBeGa2 at the GGA-PBE level of DFT.

Computed properties:
The raw total energy is -21.83 eV per formula unit. For the total magnetization, the calculation gives 0.0 μB per formula unit. The crystal system is tetragonal. The calculation puts the density of states at the Fermi level at 1.0 states/eV/f.u. The formation energy from the elements comes out at -48 meV/atom.

CIF file:
```
data_TaBeGa2
_cell_length_a 3.9115
_cell_length_b 3.8277
_cell_length_c 3.8277
_cell_angle_alpha 90.00
_cell_angle_beta 90.00
_cell_angle_gamma 90.00
_symmetry_space_group_name_H-M 'P 1'
_symmetry_Int_Tables_number 1
_symmetry_space_group_name_Hall 'P 1'
loop_
_atom_site_label
_atom_site_type_symbol
_atom_site_fract_x
_atom_site_fract_y
_atom_site_fract_z
Ta1 Ta 0.5000 0.5000 0.5000
Ga1 Ga 0.0000 0.0000 0.5000
Ga2 Ga 0.0000 0.5000 0.0000
Be1 Be 0.5000 0.0000 0.0000
```